Run P
Crystalline Pm4Pr3Er4 at its relaxed geometry. Source: Alexandria via LeMat-Bulk, functional PBE-GGA.

As for the crystal system: triclinic.

The structure belongs to space group P-1 (No. 2); the cell edges are 3.625, 5.097 and 20.116 Å and the angles 82.72°, 84.87° and 89.98°. The inequivalent atoms are Pm at (0.046, 0.046, 0.407), Pm at (0.316, 0.317, 0.867), Pr at (0.137, 0.137, 0.226), Pr at (0.500, 0.500, 0.500), Er at (0.228, 0.228, 0.044) and Er at (0.409, 0.409, 0.683).

---

Run Q
Crystalline Pm4Pr3Er4 at its relaxed geometry. Source: Alexandria via LeMat-Bulk, functional PBE-GGA.

As for the crystal system: orthorhombic.

The structure belongs to space group Amm2 (No. 38); the cell edges are 10.779, 5.762 and 12.104 Å and the angles 90.00°, 90.00° and 90.00°. The inequivalent atoms are Pm at (0.000, 0.000, 0.000), Pm at (0.213, 0.000, 0.792), Pm at (0.500, 0.000, 0.925), Pr at (0.000, 0.000, 0.294), Pr at (0.290, 0.000, 0.451), Er at (0.000, 0.000, 0.597), Er at (0.303, 0.000, 0.146) and Er at (0.500, 0.000, 0.653).

---

Q: Which of them is the most stable? A: run P.

---

Run P
Crystalline Pm5Pr2Er4 at its relaxed geometry. Source: Alexandria via LeMat-Bulk, functional PBE-GGA.

As for the crystal system: monoclinic.

The structure belongs to space group C2/m (No. 12); the cell edges are 17.783, 3.553 and 11.707 Å and the angles 90.00°, 93.97° and 90.00°. The inequivalent atoms are Pm at (0.000, 0.000, 0.000), Pm at (0.095, 0.500, 0.536), Pm at (0.176, 0.500, 0.068), Pr at (0.216, 0.000, 0.351), Er at (0.032, 0.500, 0.257) and Er at (0.139, 0.000, 0.798).

---

Run Q
Crystalline Pm5Pr2Er4 at its relaxed geometry. Source: Alexandria via LeMat-Bulk, functional PBE-GGA.

As for the crystal system: orthorhombic.

The structure belongs to space group Immm (No. 71); the cell edges are 3.522, 11.557 and 18.639 Å and the angles 90.00°, 90.00° and 90.00°. The inequivalent atoms are Pm at (0.000, 0.000, 0.000), Pm at (0.000, 0.212, 0.324), Pr at (0.000, 0.500, 0.297), Er at (0.000, 0.223, 0.500) and Er at (0.000, 0.500, 0.088).

---

Q: Which of them is the most stable? A: run P.